The following is a GGA-PBE calculation of a relaxed structure of Be2AgPb, from Alexandria via LeMat-Bulk.

Computed properties:
- M_tot: 0.00 μB/cell
- VASP energy: -2.8000 eV per atom
- Symmetry: No. 47

```
Be2AgPb
1.0
3.302 0.000 0.000
0.000 5.327 0.000
0.000 0.000 3.951
Be Pb Ag
2 1 1
Cartesian
0.000 0.000 0.000
1.651 2.664 0.000
1.651 0.000 1.975
0.000 2.664 1.975
```

=====

The following is a GGA-PBE calculation of a relaxed structure of BeAgPb2, from Alexandria via LeMat-Bulk.

Computed properties:
- M_tot: 0.00 μB/cell
- VASP energy: -3.0999 eV per atom
- Symmetry: No. 166

```
BeAgPb2
1.0
8.360 -0.069 -0.041
7.613 3.455 -0.041
7.613 1.614 3.055
Pb Be Ag
2 1 1
Cartesian
11.519 2.442 1.452
0.274 0.058 0.035
17.690 3.750 2.230
5.897 1.250 0.743
```